B2W2Au (PBE, optimized geometry); total DFT energy (no corrections) = -8.572 eV per atom; symmetry = Cmmm
1.0
1.528 -6.365 0.000
1.528 6.365 0.000
0.000 0.000 3.128
B W Au
2 2 1
Direct
0.212 0.788 0.000 B
0.788 0.212 0.000 B
0.346 0.654 0.500 W
0.654 0.346 0.500 W
0.000 0.000 0.000 Au